Record 1
# Al5Ga2Ag2, relaxed, DFT PBE
data_Al5Ga2Ag2
_cell_length_a 18.1614
_cell_length_b 2.8998
_cell_length_c 7.4904
_cell_angle_alpha 90.00
_cell_angle_beta 100.90
_cell_angle_gamma 90.00
_symmetry_space_group_name_H-M 'C 1 2/m 1'
_symmetry_Int_Tables_number 12
loop_
_symmetry_equiv_pos_as_xyz
'x,y,z'
'-x,-y,-z'
'-x,y,-z'
'x,-y,z'
'x+1/2,y+1/2,z'
'-x+1/2,-y+1/2,-z'
'-x+1/2,y+1/2,-z'
'x+1/2,-y+1/2,z'
loop_
_atom_site_label
_atom_site_fract_x
_atom_site_fract_y
_atom_site_fract_z
Al1 0.0000 0.0000 0.0000
Al2 0.0642 0.0000 0.3758
Al3 0.2004 0.5000 0.8773
Ga1 0.0670 0.5000 0.6912
Ag1 0.1547 0.0000 0.1495
# E above lowest polymorph, eV per formula unit: 0.95
# Energy of formation from the pure elements, eV/atom: 0.191

=====

Record 2
# K2LaSb, relaxed, DFT PBE
data_K2LaSb
_cell_length_a 3.5382
_cell_length_b 3.5382
_cell_length_c 12.8405
_cell_angle_alpha 90.00
_cell_angle_beta 90.00
_cell_angle_gamma 90.00
_symmetry_space_group_name_H-M 'P 4/m m m'
_symmetry_Int_Tables_number 123
_symmetry_space_group_name_Hall '-P 4 2'
loop_
_atom_site_label
_atom_site_fract_x
_atom_site_fract_y
_atom_site_fract_z
K1 0.0000 0.0000 0.1997
La1 0.5000 0.5000 0.5000
Sb1 0.5000 0.5000 0.0000
# Formation energy (no corrections), eV/atom: 0.096